No. 1
# Na2SbSO8 PBE optimized geometry
# crystal system	trigonal
# E_form (uncorrected)	-591	meV/atom
data_Na2SbSO8
_cell_length_a 6.2996
_cell_length_b 6.2996
_cell_length_c 5.0470
_cell_angle_alpha 90.00
_cell_angle_beta 90.00
_cell_angle_gamma 120.00
_symmetry_space_group_name_H-M 'P -3 m 1'
_symmetry_Int_Tables_number 164
_symmetry_space_group_name_Hall '-P 3 2"'
loop_
_atom_site_label
_atom_site_fract_x
_atom_site_fract_y
_atom_site_fract_z
Na1 0.3333 0.6667 0.1239
Sb1 0.0000 0.0000 0.5000
S1 0.0000 0.0000 0.0000
O1 0.1253 0.2506 0.2042
O2 0.3333 0.6667 0.6322

=====

No. 2
# SrDyGa6 PBE optimized geometry
# E_form	-39.0	kJ/mol of atoms
# crystal system	orthorhombic
data_SrDyGa6
_cell_length_a 4.4052
_cell_length_b 6.4873
_cell_length_c 6.0140
_cell_angle_alpha 90.00
_cell_angle_beta 90.00
_cell_angle_gamma 90.00
_symmetry_space_group_name_H-M 'P m m 2'
_symmetry_Int_Tables_number 25
loop_
_symmetry_equiv_pos_as_xyz
'x,y,z'
'-x,-y,z'
'-x,y,z'
'x,-y,z'
loop_
_atom_site_label
_atom_site_fract_x
_atom_site_fract_y
_atom_site_fract_z
Sr1 0.0000 0.0000 0.0000
Dy1 0.5000 0.5000 0.2372
Ga1 0.0000 0.2626 0.4739
Ga2 0.0000 0.5000 0.8825
Ga3 0.5000 0.0000 0.4186
Ga4 0.5000 0.2822 0.7569

=====

No. 3
# CdInPb4 PBE optimized geometry
# E_form	7.3	kJ/mol of atoms
# crystal system	monoclinic
data_CdInPb4
_cell_length_a 8.8881
_cell_length_b 5.1166
_cell_length_c 9.1774
_cell_angle_alpha 90.00
_cell_angle_beta 108.78
_cell_angle_gamma 90.00
_symmetry_space_group_name_H-M 'C 1 2/m 1'
_symmetry_Int_Tables_number 12
loop_
_symmetry_equiv_pos_as_xyz
'x,y,z'
'-x,-y,-z'
'-x,y,-z'
'x,-y,z'
'x+1/2,y+1/2,z'
'-x+1/2,-y+1/2,-z'
'-x+1/2,y+1/2,-z'
'x+1/2,-y+1/2,z'
loop_
_atom_site_label
_atom_site_fract_x
_atom_site_fract_y
_atom_site_fract_z
Cd1 0.0000 0.0000 0.0000
In1 0.0000 0.5000 0.5000
Pb1 0.1220 0.0000 0.3660
Pb2 0.1252 0.5000 0.8753

=====

No. 4
# TbDy4Te5 PBE optimized geometry
# crystal system	tetragonal
# E_form (uncorrected)	-1285	meV/atom
data_TbDy4Te5
_cell_length_a 4.3283
_cell_length_b 4.3283
_cell_length_c 31.2537
_cell_angle_alpha 90.00
_cell_angle_beta 90.00
_cell_angle_gamma 90.00
_symmetry_space_group_name_H-M 'I 4/m m m'
_symmetry_Int_Tables_number 139
_symmetry_space_group_name_Hall '-I 4 2'
loop_
_atom_site_label
_atom_site_fract_x
_atom_site_fract_y
_atom_site_fract_z
Tb1 0.0000 0.0000 0.0000
Dy1 0.0000 0.0000 0.2080
Dy2 0.0000 0.0000 0.4051
Te1 0.0000 0.0000 0.1029
Te2 0.0000 0.0000 0.3055
Te3 0.0000 0.0000 0.5000

=====

No. 5
# Cs3Mg2InBr8 PBE optimized geometry
# crystal system	trigonal
# E_form (uncorrected)	-1494	meV/atom
data_Cs3Mg2InBr8
_cell_length_a 8.2168
_cell_length_b 8.2168
_cell_length_c 10.3507
_cell_angle_alpha 90.00
_cell_angle_beta 90.00
_cell_angle_gamma 120.00
_symmetry_space_group_name_H-M 'P -3 m 1'
_symmetry_Int_Tables_number 164
_symmetry_space_group_name_Hall '-P 3 2"'
loop_
_atom_site_label
_atom_site_fract_x
_atom_site_fract_y
_atom_site_fract_z
Cs1 0.0000 0.0000 0.0000
Cs2 0.3333 0.6667 0.6241
Mg1 0.3333 0.6667 0.1981
In1 0.0000 0.0000 0.5000
Br1 0.1721 0.3441 0.3009
Br2 0.3333 0.6667 0.9613

=====

No. 6
# KSm6Se8 PBE optimized geometry
# crystal system	trigonal
# E_form (uncorrected)	-1726	meV/atom
data_KSm6Se8
_cell_length_a 11.2704
_cell_length_b 11.2704
_cell_length_c 4.2636
_cell_angle_alpha 90.00
_cell_angle_beta 90.00
_cell_angle_gamma 120.00
_symmetry_space_group_name_H-M 'P -3'
_symmetry_Int_Tables_number 147
loop_
_symmetry_equiv_pos_as_xyz
'x,y,z'
'-x,-y,-z'
'-y,x-y,z'
'y,-x+y,-z'
'-x+y,-x,z'
'x-y,x,-z'
loop_
_atom_site_label
_atom_site_fract_x
_atom_site_fract_y
_atom_site_fract_z
K1 0.0000 0.0000 0.0000
Sm1 0.1378 0.4804 0.7493
Se1 0.0454 0.6882 0.7514
Se2 0.3333 0.6667 0.2493

=====

no.,total energy (eV per atom)
1,-4.804
2,-3.459
3,-3.006
4,-5.160
5,-3.057
6,-5.545